1.
NaMgAsSe2 after structural relaxation, computed with GGA-PBE.

Calculated values
- ΔE to the lowest computed polymorph: 0 meV/atom
- Electronic total energy: -15.05 eV per cell
- M_tot: 0.00 μB/f.u.
- Space group: P4/mmm (123)
- Crystal system: tetragonal
- Formation energy from raw total energies: -0.103 eV/atom

Lattice parameters (Å, degrees): 5.197 5.197 4.976 90.00 90.00 90.00
Element x y z (fractional)
1 As 0.000 0.000 0.500
2 Na 0.500 0.500 0.500
3 Se 0.500 0.000 0.000
4 Se 0.000 0.500 0.000
5 Mg 0.000 0.000 0.000

---

2.
Na2MgAsSe4 after structural relaxation, computed with GGA-PBE.

Calculated values
- Electronic total energy: -56.98 eV per cell
- M_tot: 0.00 μB/f.u.
- Space group: Imma (74)
- Crystal system: orthorhombic
- Formation energy from raw total energies: -0.708 eV/atom

Lattice parameters (Å, degrees): 8.068 8.068 8.416 121.44 121.44 90.21
Element x y z (fractional)
1 Se 0.755 0.280 0.517
2 Se 0.245 0.720 0.483
3 Se 0.220 0.745 0.983
4 Se 0.758 0.742 0.975
5 Se 0.780 0.255 0.017
6 Se 0.242 0.258 0.025
7 Se 0.242 0.258 0.475
8 Se 0.758 0.742 0.525
9 Mg 0.000 0.500 0.500
10 Mg 0.000 0.500 0.000
11 As 0.500 0.500 0.500
12 As 0.000 0.000 0.000
13 Na 0.500 0.000 0.500
14 Na 0.500 0.000 0.000
15 Na 0.000 0.000 0.500
16 Na 0.500 0.500 0.000